A plane-wave DFT calculation with PBE was carried out for a relaxed structure of SrDyIn.

```
data_SrDyIn
_space_group_name_H-M_alt 'P 4/n m m'
_space_group_IT_number 129
_cell_length_a 5.0857
_cell_length_b 5.0857
_cell_length_c 8.2569
_cell_angle_alpha 90.00
_cell_angle_beta 90.00
_cell_angle_gamma 90.00
loop_
_space_group_symop_operation_xyz
'x,y,z'
'-x,-y,-z'
'-y+1/2,x,z'
'y+1/2,-x,-z'
'-x+1/2,-y+1/2,z'
'x+1/2,y+1/2,-z'
'y,-x+1/2,z'
'-y,x+1/2,-z'
'x+1/2,-y,-z'
'-x+1/2,y,z'
'-y,-x,-z'
'y,x,z'
'-x,y+1/2,-z'
'x,-y+1/2,z'
'y+1/2,x+1/2,-z'
'-y+1/2,-x+1/2,z'
loop_
_atom_site_label
_atom_site_fract_x
_atom_site_fract_y
_atom_site_fract_z
Sr1 0.2500 0.2500 0.1446
Dy1 0.2500 0.7500 0.5000
In1 0.2500 0.2500 0.7297
```

Calculated values
crystal system = tetragonal
polymorph energy (0 for the lowest one) = 0.000 eV/f.u.

***

A plane-wave DFT calculation with PBE was carried out for a relaxed structure of SrDy2In.

```
data_SrDy2In
_space_group_name_H-M_alt 'R 3 m'
_space_group_IT_number 160
_space_group_name_Hall 'R 3 -2"'
_cell_length_a 5.2652
_cell_length_b 5.2652
_cell_length_c 18.2824
_cell_angle_alpha 90.00
_cell_angle_beta 90.00
_cell_angle_gamma 120.00
loop_
_atom_site_label
_atom_site_fract_x
_atom_site_fract_y
_atom_site_fract_z
Sr1 0.0000 0.0000 0.0000
Dy1 0.0000 0.0000 0.5536
Dy2 0.0000 0.0000 0.7898
In1 0.0000 0.0000 0.1956
```

Calculated values
crystal system = trigonal
polymorph energy (0 for the lowest one) = 0.567 eV/f.u.

***

A plane-wave DFT calculation with PBE was carried out for a relaxed structure of SrDyIn2.

```
data_SrDyIn2
_space_group_name_H-M_alt 'P 4/m m m'
_space_group_IT_number 123
_space_group_name_Hall '-P 4 2'
_cell_length_a 3.8894
_cell_length_b 3.8894
_cell_length_c 7.9131
_cell_angle_alpha 90.00
_cell_angle_beta 90.00
_cell_angle_gamma 90.00
loop_
_atom_site_label
_atom_site_fract_x
_atom_site_fract_y
_atom_site_fract_z
Sr1 0.0000 0.0000 0.0000
Dy1 0.0000 0.0000 0.5000
In1 0.5000 0.5000 0.2769
```

Calculated values
crystal system = tetragonal

***

A plane-wave DFT calculation with PBE was carried out for a relaxed structure of SrDy2In9.

```
data_SrDy2In9
_space_group_name_H-M_alt 'P 4/m m m'
_space_group_IT_number 123
_space_group_name_Hall '-P 4 2'
_cell_length_a 4.7111
_cell_length_b 4.7111
_cell_length_c 14.1429
_cell_angle_alpha 90.00
_cell_angle_beta 90.00
_cell_angle_gamma 90.00
loop_
_atom_site_label
_atom_site_fract_x
_atom_site_fract_y
_atom_site_fract_z
Sr1 0.0000 0.0000 0.0000
Dy1 0.0000 0.0000 0.3404
In1 0.0000 0.5000 0.1751
In2 0.0000 0.5000 0.5000
In3 0.5000 0.5000 0.0000
In4 0.5000 0.5000 0.3356
```

Calculated values
crystal system = tetragonal

***

A plane-wave DFT calculation with PBE was carried out for a relaxed structure of SrDyIn.

```
data_SrDyIn
_space_group_name_H-M_alt 'P 3 m 1'
_space_group_IT_number 156
_space_group_name_Hall 'P 3 -2"'
_cell_length_a 5.4671
_cell_length_b 5.4671
_cell_length_c 3.8933
_cell_angle_alpha 90.00
_cell_angle_beta 90.00
_cell_angle_gamma 120.00
loop_
_atom_site_label
_atom_site_fract_x
_atom_site_fract_y
_atom_site_fract_z
Sr1 0.0000 0.0000 0.0000
Dy1 0.3333 0.6667 0.4575
In1 0.6667 0.3333 0.5922
```

Calculated values
crystal system = trigonal
polymorph energy (0 for the lowest one) = 0.493 eV/f.u.

***

A plane-wave DFT calculation with PBE was carried out for a relaxed structure of Sr3DyIn4.

```
data_Sr3DyIn4
_space_group_name_H-M_alt 'P 4/m m m'
_space_group_IT_number 123
_space_group_name_Hall '-P 4 2'
_cell_length_a 3.9570
_cell_length_b 3.9570
_cell_length_c 16.2324
_cell_angle_alpha 90.00
_cell_angle_beta 90.00
_cell_angle_gamma 90.00
loop_
_atom_site_label
_atom_site_fract_x
_atom_site_fract_y
_atom_site_fract_z
Sr1 0.0000 0.0000 0.0000
Sr2 0.0000 0.0000 0.2590
Dy1 0.0000 0.0000 0.5000
In1 0.5000 0.5000 0.1288
In2 0.5000 0.5000 0.3934
```

Calculated values
crystal system = tetragonal

***

A plane-wave DFT calculation with PBE was carried out for a relaxed structure of SrDyIn4.

```
data_SrDyIn4
_space_group_name_H-M_alt 'F -4 3 m'
_space_group_IT_number 216
_space_group_name_Hall 'F -4 2 3'
_cell_length_a 8.6836
_cell_length_b 8.6836
_cell_length_c 8.6836
_cell_angle_alpha 90.00
_cell_angle_beta 90.00
_cell_angle_gamma 90.00
loop_
_atom_site_label
_atom_site_fract_x
_atom_site_fract_y
_atom_site_fract_z
Sr1 0.0000 0.0000 0.0000
Dy1 0.2500 0.2500 0.2500
In1 0.1246 0.1246 0.6246
```

Calculated values
crystal system = cubic

***

A plane-wave DFT calculation with PBE was carried out for a relaxed structure of SrDy2In.

```
data_SrDy2In
_space_group_name_H-M_alt 'P 4/m m m'
_space_group_IT_number 123
_space_group_name_Hall '-P 4 2'
_cell_length_a 5.0219
_cell_length_b 5.0219
_cell_length_c 4.9747
_cell_angle_alpha 90.00
_cell_angle_beta 90.00
_cell_angle_gamma 90.00
loop_
_atom_site_label
_atom_site_fract_x
_atom_site_fract_y
_atom_site_fract_z
Sr1 0.0000 0.0000 0.0000
Dy1 0.0000 0.5000 0.5000
In1 0.5000 0.5000 0.0000
```

Calculated values
crystal system = tetragonal
polymorph energy (0 for the lowest one) = 0.000 eV/f.u.

***

A plane-wave DFT calculation with PBE was carried out for a relaxed structure of SrDy5In3.

```
data_SrDy5In3
_space_group_name_H-M_alt 'P 63/m c m'
_space_group_IT_number 193
_space_group_name_Hall '-P 6c 2'
_cell_length_a 9.4249
_cell_length_b 9.4249
_cell_length_c 6.8649
_cell_angle_alpha 90.00
_cell_angle_beta 90.00
_cell_angle_gamma 120.00
loop_
_atom_site_label
_atom_site_fract_x
_atom_site_fract_y
_atom_site_fract_z
Sr1 0.0000 0.0000 0.0000
Dy1 0.0000 0.3380 0.2500
Dy2 0.3333 0.6667 0.0000
In1 0.0000 0.3357 0.7500
```

Calculated values
crystal system = hexagonal

***

A plane-wave DFT calculation with PBE was carried out for a relaxed structure of SrDyTlIn.

```
data_SrDyTlIn
_space_group_name_H-M_alt 'F -4 3 m'
_space_group_IT_number 216
_space_group_name_Hall 'F -4 2 3'
_cell_length_a 7.8491
_cell_length_b 7.8491
_cell_length_c 7.8491
_cell_angle_alpha 90.00
_cell_angle_beta 90.00
_cell_angle_gamma 90.00
loop_
_atom_site_label
_atom_site_fract_x
_atom_site_fract_y
_atom_site_fract_z
Sr1 0.0000 0.0000 0.0000
Dy1 0.0000 0.0000 0.5000
Tl1 0.2500 0.2500 0.2500
In1 0.2500 0.2500 0.7500
```

Calculated values
crystal system = cubic

***

A plane-wave DFT calculation with PBE was carried out for a relaxed structure of SrDyZnIn.

```
data_SrDyZnIn
_space_group_name_H-M_alt 'F -4 3 m'
_space_group_IT_number 216
_space_group_name_Hall 'F -4 2 3'
_cell_length_a 7.6655
_cell_length_b 7.6655
_cell_length_c 7.6655
_cell_angle_alpha 90.00
_cell_angle_beta 90.00
_cell_angle_gamma 90.00
loop_
_atom_site_label
_atom_site_fract_x
_atom_site_fract_y
_atom_site_fract_z
Sr1 0.0000 0.0000 0.0000
Dy1 0.0000 0.0000 0.5000
Zn1 0.2500 0.2500 0.7500
In1 0.2500 0.2500 0.2500
```

Calculated values
crystal system = cubic

***

A plane-wave DFT calculation with PBE was carried out for a relaxed structure of Tb4Dy9In11.

```
data_Tb4Dy9In11
_space_group_name_H-M_alt 'C m m m'
_space_group_IT_number 65
_space_group_name_Hall '-C 2 2'
_cell_length_a 15.9265
_cell_length_b 23.2939
_cell_length_c 3.4999
_cell_angle_alpha 90.00
_cell_angle_beta 90.00
_cell_angle_gamma 90.00
loop_
_atom_site_label
_atom_site_fract_x
_atom_site_fract_y
_atom_site_fract_z
Tb1 0.1725 0.0818 0.0000
Dy1 0.0000 0.0000 0.0000
Dy2 0.1078 0.4046 0.0000
Dy3 0.1116 0.2239 0.0000
In1 0.0000 0.1212 0.5000
In2 0.0000 0.3124 0.5000
In3 0.0000 0.5000 0.5000
In4 0.2053 0.5000 0.5000
In5 0.2260 0.3167 0.5000
```

Calculated values
crystal system = orthorhombic

***

A plane-wave DFT calculation with PBE was carried out for a relaxed structure of TbDy12In3.

```
data_TbDy12In3
_space_group_name_H-M_alt 'P 4/m m m'
_space_group_IT_number 123
_space_group_name_Hall '-P 4 2'
_cell_length_a 4.8582
_cell_length_b 4.8582
_cell_length_c 19.7801
_cell_angle_alpha 90.00
_cell_angle_beta 90.00
_cell_angle_gamma 90.00
loop_
_atom_site_label
_atom_site_fract_x
_atom_site_fract_y
_atom_site_fract_z
Tb1 0.0000 0.0000 0.0000
Dy1 0.0000 0.5000 0.1305
Dy2 0.0000 0.5000 0.3770
Dy3 0.5000 0.5000 0.0000
Dy4 0.5000 0.5000 0.2547
Dy5 0.5000 0.5000 0.5000
In1 0.0000 0.0000 0.2561
In2 0.0000 0.0000 0.5000
```

Calculated values
crystal system = tetragonal

***

A plane-wave DFT calculation with PBE was carried out for a relaxed structure of Tb2DyIn.

```
data_Tb2DyIn
_space_group_name_H-M_alt 'F m -3 m'
_space_group_IT_number 225
_space_group_name_Hall '-F 4 2 3'
_cell_length_a 7.7220
_cell_length_b 7.7220
_cell_length_c 7.7220
_cell_angle_alpha 90.00
_cell_angle_beta 90.00
_cell_angle_gamma 90.00
loop_
_atom_site_label
_atom_site_fract_x
_atom_site_fract_y
_atom_site_fract_z
Tb1 0.2500 0.2500 0.2500
Dy1 0.0000 0.0000 0.0000
In1 0.0000 0.0000 0.5000
```

Calculated values
crystal system = cubic
polymorph energy (0 for the lowest one) = 0.558 eV/f.u.

***

A plane-wave DFT calculation with PBE was carried out for a relaxed structure of TbDy2In2.

```
data_TbDy2In2
_space_group_name_H-M_alt 'C m c 21'
_space_group_IT_number 36
_space_group_name_Hall 'C 2c -2'
_cell_length_a 5.3694
_cell_length_b 16.0355
_cell_length_c 6.5121
_cell_angle_alpha 90.00
_cell_angle_beta 90.00
_cell_angle_gamma 90.00
loop_
_atom_site_label
_atom_site_fract_x
_atom_site_fract_y
_atom_site_fract_z
Tb1 0.0000 0.0972 0.0000
Dy1 0.0000 0.3018 0.2316
Dy2 0.0000 0.4735 0.8040
In1 0.0000 0.1030 0.5132
In2 0.0000 0.2865 0.7198
```

Calculated values
crystal system = orthorhombic
polymorph energy (0 for the lowest one) = 0.274 eV/f.u.

***

A plane-wave DFT calculation with PBE was carried out for a relaxed structure of Tb2Dy2In.

```
data_Tb2Dy2In
_space_group_name_H-M_alt 'P 4/m b m'
_space_group_IT_number 127
_space_group_name_Hall '-P 4 2ab'
_cell_length_a 8.1720
_cell_length_b 8.1720
_cell_length_c 4.6276
_cell_angle_alpha 90.00
_cell_angle_beta 90.00
_cell_angle_gamma 90.00
loop_
_atom_site_label
_atom_site_fract_x
_atom_site_fract_y
_atom_site_fract_z
Tb1 0.1527 0.3473 0.0000
Dy1 0.1484 0.6484 0.5000
In1 0.0000 0.0000 0.5000
```

Calculated values
crystal system = tetragonal
polymorph energy (0 for the lowest one) = 0.000 eV/f.u.

***

A plane-wave DFT calculation with PBE was carried out for a relaxed structure of TbDy2In2.

```
data_TbDy2In2
_space_group_name_H-M_alt 'P 1 21/m 1'
_space_group_IT_number 11
_space_group_name_Hall '-P 2yb'
_cell_length_a 3.7455
_cell_length_b 5.3492
_cell_length_c 14.0154
_cell_angle_alpha 90.00
_cell_angle_beta 97.69
_cell_angle_gamma 90.00
loop_
_atom_site_label
_atom_site_fract_x
_atom_site_fract_y
_atom_site_fract_z
Tb1 0.1480 0.2500 0.2979
Dy1 0.0479 0.7500 0.0958
Dy2 0.2369 0.7500 0.4739
In1 0.3574 0.2500 0.7133
In2 0.4503 0.7500 0.9005
```

Calculated values
crystal system = monoclinic
polymorph energy (0 for the lowest one) = 0.000 eV/f.u.

***

A plane-wave DFT calculation with PBE was carried out for a relaxed structure of Tb2DyIn.

```
data_Tb2DyIn
_space_group_name_H-M_alt 'P 4/m m m'
_space_group_IT_number 123
_space_group_name_Hall '-P 4 2'
_cell_length_a 3.5805
_cell_length_b 3.5805
_cell_length_c 9.2586
_cell_angle_alpha 90.00
_cell_angle_beta 90.00
_cell_angle_gamma 90.00
loop_
_atom_site_label
_atom_site_fract_x
_atom_site_fract_y
_atom_site_fract_z
Tb1 0.0000 0.0000 0.2275
Dy1 0.5000 0.5000 0.5000
In1 0.5000 0.5000 0.0000
```

Calculated values
crystal system = tetragonal
polymorph energy (0 for the lowest one) = 0.165 eV/f.u.

***

A plane-wave DFT calculation with PBE was carried out for a relaxed structure of Tb2Dy8In.

```
data_Tb2Dy8In
_space_group_name_H-M_alt 'C 1 2/m 1'
_space_group_IT_number 12
_space_group_name_Hall '-C 2y'
_cell_length_a 19.3271
_cell_length_b 5.5314
_cell_length_c 6.4299
_cell_angle_alpha 90.00
_cell_angle_beta 94.85
_cell_angle_gamma 90.00
loop_
_atom_site_label
_atom_site_fract_x
_atom_site_fract_y
_atom_site_fract_z
Tb1 0.2429 0.0000 0.3353
Dy1 0.0443 0.0000 0.2636
Dy2 0.0788 0.5000 0.5963
Dy3 0.1534 0.0000 0.8066
Dy4 0.1615 0.5000 0.1215
In1 0.0000 0.5000 0.0000
```

Calculated values
crystal system = monoclinic
polymorph energy (0 for the lowest one) = 0.000 eV/f.u.

***

A plane-wave DFT calculation with PBE was carried out for a relaxed structure of TbDy4In4.

```
data_TbDy4In4
_space_group_name_H-M_alt 'P 42/n m c'
_space_group_IT_number 137
_cell_length_a 7.1822
_cell_length_b 7.1822
_cell_length_c 10.6124
_cell_angle_alpha 90.00
_cell_angle_beta 90.00
_cell_angle_gamma 90.00
loop_
_space_group_symop_operation_xyz
'x,y,z'
'-x,-y,-z'
'-y+1/2,x,z+1/2'
'y+1/2,-x,-z+1/2'
'-x+1/2,-y+1/2,z'
'x+1/2,y+1/2,-z'
'y,-x+1/2,z+1/2'
'-y,x+1/2,-z+1/2'
'x+1/2,-y,-z'
'-x+1/2,y,z'
'-y,-x,-z+1/2'
'y,x,z+1/2'
'-x,y+1/2,-z'
'x,-y+1/2,z'
'y+1/2,x+1/2,-z+1/2'
'-y+1/2,-x+1/2,z+1/2'
loop_
_atom_site_label
_atom_site_fract_x
_atom_site_fract_y
_atom_site_fract_z
Tb1 0.2500 0.7500 0.2500
Dy1 0.0222 0.2500 0.1672
In1 0.0286 0.2500 0.4664
```

Calculated values
crystal system = tetragonal

***

no.,formation enthalpy at 0 K (meV per atom)
1,-303
2,38
3,-443
4,-375
5,-138
6,-428
7,-315
8,-104
9,-318
10,-353
11,-289
12,-397
13,-192
14,-129
15,-327
16,5
17,-382
18,-227
19,-53
20,-130